No. 1
Compound: Tb2NdEr6
Source: the Alexandria database
Functional: GGA-PBE
Structure: optimized geometry

Results
formation energy = 0.07 eV/atom

Lattice parameters (Å, degrees): 3.4518 5.6021 17.1407 119.36 101.64 89.97
Positions (direct):
Tb (0.1647, 0.4990, 0.1660)
Tb (0.8353, 0.5010, 0.8340)
Nd (0.5000, 0.5000, 0.5000)
Er (0.7736, 0.1634, 0.2755)
Er (0.4463, 0.1682, 0.9455)
Er (0.5537, 0.8318, 0.0545)
Er (0.1133, 0.1688, 0.6126)
Er (0.8867, 0.8312, 0.3874)
Er (0.2264, 0.8366, 0.7245)

=====

No. 2
Compound: NdDy2Tm5Sc
Source: the Alexandria database
Functional: GGA-PBE
Structure: optimized geometry

Results
formation energy = 0.17 eV/atom

Lattice parameters (Å, degrees): 5.5183 10.1555 10.3028 90.00 90.00 105.76
Positions (direct):
Tm (0.2769, 0.5538, 0.3221)
Tm (0.6226, 0.2451, 0.5202)
Tm (0.7231, 0.4462, 0.8221)
Tm (0.5196, 0.0391, 0.2378)
Tm (0.0186, 0.0371, 0.0211)
Tm (0.7019, 0.4038, 0.2063)
Tm (0.9814, 0.9629, 0.5211)
Tm (0.2981, 0.5962, 0.7063)
Tm (0.4804, 0.9609, 0.7378)
Tm (0.3774, 0.7549, 0.0202)
Nd (0.4137, 0.8275, 0.4533)
Nd (0.5863, 0.1725, 0.9533)
Dy (0.1112, 0.2224, 0.3151)
Dy (0.8861, 0.7722, 0.2339)
Dy (0.8888, 0.7776, 0.8151)
Dy (0.1139, 0.2278, 0.7339)
Sc (0.8029, 0.6058, 0.5141)
Sc (0.1971, 0.3942, 0.0141)

=====

No. 3
Compound: Sm2DySc8
Source: the Alexandria database
Functional: GGA-PBE
Structure: optimized geometry

Results
formation energy = 0.15 eV/atom

Lattice parameters (Å, degrees): 5.5176 8.6746 8.8582 60.68 73.34 54.16
Positions (direct):
Sc (0.2850, 0.4518, 0.0000)
Sc (0.8089, 0.3351, 0.7607)
Sc (0.5000, 0.7949, 0.4102)
Sc (0.7150, 0.5482, 0.0000)
Sc (0.1911, 0.9042, 0.7607)
Sc (0.8089, 0.0958, 0.2393)
Sc (0.5000, 0.2051, 0.5898)
Sc (0.1911, 0.6649, 0.2393)
Dy (0.5000, 0.0000, 0.0000)
Sm (0.0000, 0.3069, 0.3861)
Sm (0.0000, 0.6931, 0.6139)

=====

No. 4
Compound: ZnMoP2
Source: the Alexandria database
Functional: GGA-PBE
Structure: optimized geometry

Results
formation energy = 0.24 eV/atom

Lattice parameters (Å, degrees): 5.1627 5.1627 5.1627 139.22 139.22 59.04
Positions (direct):
Mo (0.7500, 0.2500, 0.5000)
Zn (0.5000, 0.5000, 0.0000)
P (0.2500, 0.7500, 0.5000)
P (0.0000, 0.0000, 0.0000)

=====

No. 5
Compound: TbInNi
Source: the Alexandria database
Functional: GGA-PBE
Structure: optimized geometry

Results
formation energy = -0.50 eV/atom

Lattice parameters (Å, degrees): 3.7193 7.6162 13.1263 90.00 90.00 90.00
Positions (direct):
In (0.5000, 0.4277, 0.1191)
In (0.5000, 0.4277, 0.3809)
In (0.5000, 0.5723, 0.8809)
In (0.5000, 0.5723, 0.6191)
In (0.5000, 0.8042, 0.2500)
In (0.5000, 0.1958, 0.7500)
Tb (0.0000, 0.2212, 0.9553)
Tb (0.0000, 0.2212, 0.5447)
Tb (0.0000, 0.1468, 0.2500)
Tb (0.0000, 0.8532, 0.7500)
Tb (0.0000, 0.7788, 0.4553)
Tb (0.0000, 0.7788, 0.0447)
Ni (0.0000, 0.5487, 0.2500)
Ni (0.5000, 0.0570, 0.4077)
Ni (0.5000, 0.9430, 0.9077)
Ni (0.5000, 0.9430, 0.5923)
Ni (0.5000, 0.0570, 0.0923)
Ni (0.0000, 0.4513, 0.7500)

=====

No. 6
Compound: ReWCl2
Source: the Alexandria database
Functional: GGA-PBE
Structure: optimized geometry

Results
E_form (uncorrected) = 0.8234 eV/atom

Lattice parameters (Å, degrees): 6.2191 6.2191 6.2191 150.94 132.73 56.46
Site moments in Bohr magnetons follow the coordinates.
Positions (direct):
W (0.2700, 0.7700, 0.5000)  -0.35
Cl (0.0602, 0.0602, 0.0000)  0.04
Cl (0.7397, 0.2397, 0.5000)  0.07
Re (0.4301, 0.4301, 0.0000)  0.93

=====

No. 7
Compound: Hf2RePt2
Source: the Alexandria database
Functional: GGA-PBE
Structure: optimized geometry

Results
formation energy = -0.53 eV/atom

Lattice parameters (Å, degrees): 7.2372 7.2372 3.4619 90.00 90.00 90.00
Positions (direct):
Pt (0.6305, 0.1305, 0.0000)
Pt (0.8695, 0.6305, 0.0000)
Pt (0.1305, 0.3695, 0.0000)
Pt (0.3695, 0.8695, 0.0000)
Re (0.0000, 0.0000, 0.0000)
Re (0.5000, 0.5000, 0.0000)
Hf (0.1741, 0.6741, 0.5000)
Hf (0.3259, 0.1741, 0.5000)
Hf (0.6741, 0.8259, 0.5000)
Hf (0.8259, 0.3259, 0.5000)

=====

No. 8
Compound: Nb2ZnAgW
Source: the Alexandria database
Functional: GGA-PBE
Structure: optimized geometry

Results
formation energy = 1.49 eV/atom

Lattice parameters (Å, degrees): 4.7002 4.5866 4.7002 90.00 90.00 90.00
Positions (direct):
Ag (0.5000, 0.5000, 0.5000)
Zn (0.0000, 0.0000, 0.0000)
Nb (0.0000, 0.0000, 0.5000)
Nb (0.5000, 0.0000, 0.0000)
W (0.0000, 0.5000, 0.0000)

=====

| no. | calculated volume (Å³/f.u.) |
| --- | --- |
| 1 | 281.0 |
| 2 | 277.8 |
| 3 | 299.7 |
| 4 | 58.1 |
| 5 | 62.0 |
| 6 | 85.3 |
| 7 | 90.7 |
| 8 | 101.3 |